# 1
Density functional theory data (PBE-GGA) for a relaxed RePt2Br crystal.

Summary:
Polymorph energy (0 for the lowest one) = 302.3 meV per atom
Crystal system = orthorhombic

Cell: 8.323 8.323 8.323 Å, 161.24 151.39 34.43°
Sites, in units of the cell vectors:
Re: 0.459 0.459 0.000
Br: 0.701 0.201 0.500
Pt: 0.013 0.013 0.000
Pt: 0.326 0.826 0.500

# 2
Density functional theory data (PBE-GGA) for a relaxed PmMg2Cd4Ag crystal.

Summary:
ΔH_f (0 K) = -4.1 kcal/mol of atoms
Crystal system = trigonal

Cell: 4.872 4.872 9.290 Å, 74.80 74.80 60.00°
Sites, in units of the cell vectors:
Pm: 0.000 0.000 0.000
Mg: 0.751 0.751 0.746
Mg: 0.249 0.249 0.254
Cd: 0.389 0.389 0.833
Cd: 0.872 0.872 0.385
Cd: 0.128 0.128 0.615
Cd: 0.611 0.611 0.167
Ag: 0.500 0.500 0.500

# 3
Density functional theory data (PBE-GGA) for a relaxed Pa2BiW crystal.

Summary:
ΔH_f (0 K) = 13.7 kcal/mol of atoms
Polymorph energy (0 for the lowest one) = 372.2 meV per atom
Crystal system = trigonal

Cell: 3.211 3.211 11.356 Å, 81.87 81.87 60.00°
Sites, in units of the cell vectors:
Pa: 0.077 0.077 0.768
Pa: 0.923 0.923 0.232
Bi: 0.500 0.500 0.500
W: 0.000 0.000 0.000

| no. | DFT total energy (eV/atom) |
| --- | --- |
| 1 | -6.022 |
| 2 | -1.985 |
| 3 | -8.360 |